ScFe2P | Alexandria via LeMat-Bulk | PBE-GGA | relaxed; mass density = 5.8 g/cm3; total energy = -7.447 eV per atom; ΔH_f (0 K) = -27.04 kJ/mol of atoms; spin magnetization = 3.3 μB/cell
1.0
3.7014 -2.7470 1.2169
2.1123 1.5776 3.9720
-4.1978 -1.5628 -1.6320
P Fe Sc
1 2 1
Direct
0.0000 0.5000 0.5000
0.7762 0.7762 0.0000
0.2238 0.2238 0.0000
0.5000 0.0000 0.5000